The following is a PBE calculation of an optimized crystal structure of TbPrZn4, from Alexandria via LeMat-Bulk.

Results
Size of the total moment in μB per formula unit: 0.00
Excess energy over the best structure of this formula in the dataset in meV per atom: 25
Crystal system: cubic
Energy of formation from the pure elements in meV/atom: -324

a = 5.5437 Å, b = 5.5437 Å, c = 5.5437 Å
α = 60.00°, β = 60.00°, γ = 60.00°
Sites, in units of the cell vectors:
Pr  0.2500  0.2500  0.2500
Tb  0.0000  0.0000  0.0000
Zn  0.1242  0.6253  0.6253
Zn  0.6253  0.1242  0.6253
Zn  0.6253  0.6253  0.1242
Zn  0.6253  0.6253  0.6253



The following is a PBE calculation of an optimized crystal structure of NbCu2SiBi, from Alexandria via LeMat-Bulk.

Results
Size of the total moment in μB per formula unit: 2.67
Crystal system: tetragonal
Raw formation energy in kJ/mol of atoms: 151.6

a = 4.7319 Å, b = 5.5664 Å, c = 4.7319 Å
α = 90.00°, β = 90.00°, γ = 90.00°
Sites, in units of the cell vectors:
Si  0.0000  0.5000  0.0000
Nb  0.5000  0.5000  0.5000
Cu  0.0000  0.0000  0.5000
Cu  0.5000  0.0000  0.0000
Bi  0.0000  0.0000  0.0000



The following is a PBE calculation of an optimized crystal structure of MgSi2Ru, from Alexandria via LeMat-Bulk.

Results
Size of the total moment in μB per formula unit: 0.00
Crystal system: tetragonal
Raw formation energy in kJ/mol of atoms: -2.3

a = 3.8372 Å, b = 3.8308 Å, c = 3.8308 Å
α = 90.00°, β = 90.00°, γ = 90.00°
Sites, in units of the cell vectors:
Si  0.0000  0.5000  0.5000
Si  0.0000  0.0000  0.0000
Mg  0.5000  0.5000  0.0000
Ru  0.5000  0.0000  0.5000



The following is a PBE calculation of an optimized crystal structure of Y5ErTe4, from Alexandria via LeMat-Bulk.

Results
Size of the total moment in μB per formula unit: 0.01
Crystal system: orthorhombic
Raw formation energy in kJ/mol of atoms: -77.1

a = 7.4177 Å, b = 9.1521 Å, c = 9.7561 Å
α = 90.00°, β = 90.00°, γ = 90.00°
Sites, in units of the cell vectors:
Y  0.2395  0.8052  0.8075
Y  0.2395  0.1948  0.1925
Y  0.2395  0.1948  0.8075
Y  0.7879  0.5000  0.0000
Y  0.2121  0.0000  0.5000
Y  0.7605  0.6948  0.6925
Y  0.2395  0.8052  0.1925
Y  0.7605  0.3052  0.3075
Y  0.7605  0.3052  0.6925
Y  0.7605  0.6948  0.3075
Te  0.5660  0.2277  0.0000
Te  0.9162  0.0000  0.2967
Te  0.4340  0.2723  0.5000
Te  0.4340  0.7277  0.5000
Te  0.0838  0.5000  0.2033
Te  0.0838  0.5000  0.7967
Te  0.9162  0.0000  0.7033
Te  0.5660  0.7723  0.0000
Er  0.8666  0.0000  0.0000
Er  0.1334  0.5000  0.5000



The following is a PBE calculation of an optimized crystal structure of B2RuCl, from Alexandria via LeMat-Bulk.

Results
Size of the total moment in μB per formula unit: 0.00
Excess energy over the best structure of this formula in the dataset in meV per atom: 0
Crystal system: tetragonal
Raw formation energy in kJ/mol of atoms: 76.4

a = 5.0884 Å, b = 5.0884 Å, c = 6.0014 Å
α = 64.92°, β = 64.92°, γ = 90.00°
Sites, in units of the cell vectors:
Ru  0.7500  0.2500  0.5000
Ru  0.0000  0.0000  0.0000
B  0.0610  0.6250  0.2500
B  0.6890  0.1250  0.2500
B  0.3750  0.3110  0.7500
B  0.8750  0.9390  0.7500
Cl  0.5000  0.5000  0.0000
Cl  0.2500  0.7500  0.5000



The following is a PBE calculation of an optimized crystal structure of PrEr2Pd, from Alexandria via LeMat-Bulk.

Results
Size of the total moment in μB per formula unit: 0.00
Excess energy over the best structure of this formula in the dataset in meV per atom: 128
Crystal system: trigonal
Energy of formation from the pure elements in meV/atom: -331

a = 3.8839 Å, b = 3.8839 Å, c = 9.4166 Å
α = 78.10°, β = 78.10°, γ = 60.00°
Sites, in units of the cell vectors:
Pd  0.6657  0.6657  0.0029
Pr  0.5018  0.5018  0.4945
Er  0.0604  0.0604  0.8187
Er  0.2720  0.2720  0.1839



The following is a PBE calculation of an optimized crystal structure of La7Pm3Dy2, from Alexandria via LeMat-Bulk.

Results
Size of the total moment in μB per formula unit: 0.00
Excess energy over the best structure of this formula in the dataset in meV per atom: 20
Crystal system: monoclinic
Energy of formation from the pure elements in meV/atom: 86

a = 3.6409 Å, b = 6.0127 Å, c = 20.0415 Å
α = 103.75°, β = 90.00°, γ = 90.00°
Sites, in units of the cell vectors:
La  0.0000  0.5289  0.8534
La  0.0000  0.4711  0.1466
La  0.5000  0.7234  0.4667
La  0.5000  0.0054  0.1835
La  0.5000  0.9946  0.8165
La  0.0000  0.0000  0.0000
La  0.5000  0.2766  0.5333
Pm  0.0000  0.8548  0.6358
Pm  0.0000  0.1452  0.3642
Pm  0.5000  0.5000  0.0000
Dy  0.5000  0.4106  0.7022
Dy  0.5000  0.5894  0.2978



The following is a PBE calculation of an optimized crystal structure of TePd2Se2, from Alexandria via LeMat-Bulk.

Results
Size of the total moment in μB per formula unit: 0.00
Excess energy over the best structure of this formula in the dataset in meV per atom: 0
Crystal system: monoclinic
Raw formation energy in kJ/mol of atoms: -22.7

a = 3.9838 Å, b = 7.0251 Å, c = 9.2044 Å
α = 115.81°, β = 90.00°, γ = 90.00°
Sites, in units of the cell vectors:
Te  0.7500  0.3315  0.8342
Te  0.2500  0.6685  0.1658
Pd  0.7500  0.8344  0.3992
Pd  0.7500  0.7552  0.9915
Pd  0.2500  0.2448  0.0085
Pd  0.2500  0.1656  0.6008
Se  0.7500  0.1585  0.1553
Se  0.2500  0.7728  0.5496
Se  0.2500  0.8415  0.8447
Se  0.7500  0.2272  0.4504



The following is a PBE calculation of an optimized crystal structure of TiSb3Os, from Alexandria via LeMat-Bulk.

Results
Size of the total moment in μB per formula unit: 2.97
Excess energy over the best structure of this formula in the dataset in meV per atom: 335
Crystal system: cubic
Raw formation energy in kJ/mol of atoms: 119.5

a = 5.1470 Å, b = 5.1470 Å, c = 5.1470 Å
α = 90.00°, β = 90.00°, γ = 90.00°
Sites, in units of the cell vectors:
Ti  0.0000  0.0000  0.0000
Sb  0.0000  0.5000  0.0000
Sb  0.5000  0.0000  0.0000
Sb  0.0000  0.0000  0.5000
Os  0.5000  0.5000  0.5000



The following is a PBE calculation of an optimized crystal structure of Sm3Ge7Os2, from Alexandria via LeMat-Bulk.

Results
Size of the total moment in μB per formula unit: 0.00
Crystal system: orthorhombic
Energy of formation from the pure elements in meV/atom: -523

a = 4.3564 Å, b = 4.3864 Å, c = 13.0740 Å
α = 99.64°, β = 90.00°, γ = 90.00°
Sites, in units of the cell vectors:
Sm  0.0000  0.1831  0.3659
Sm  0.5000  0.5000  0.0000
Sm  0.0000  0.8169  0.6341
Os  0.5000  0.3717  0.7438
Os  0.5000  0.6283  0.2562
Ge  0.5000  0.9139  0.8284
Ge  0.5000  0.0861  0.1716
Ge  0.0000  0.5862  0.1716
Ge  0.0000  0.4138  0.8284
Ge  0.5000  0.7216  0.4437
Ge  0.0000  0.0000  0.0000
Ge  0.5000  0.2784  0.5563



The following is a PBE calculation of an optimized crystal structure of Ac4La5Y, from Alexandria via LeMat-Bulk.

Results
Size of the total moment in μB per formula unit: 0.00
Excess energy over the best structure of this formula in the dataset in meV per atom: 0
Crystal system: monoclinic
Energy of formation from the pure elements in meV/atom: 240

a = 5.4669 Å, b = 8.9662 Å, c = 10.2389 Å
α = 118.88°, β = 105.48°, γ = 90.00°
Sites, in units of the cell vectors:
La  0.5000  0.5000  0.0000
La  0.8193  0.2621  0.6385
La  0.1608  0.1196  0.3216
La  0.1807  0.7379  0.3615
La  0.8392  0.8804  0.6784
Ac  0.9727  0.7185  0.9454
Ac  0.0273  0.2815  0.0546
Ac  0.3243  0.5709  0.6486
Ac  0.6757  0.4291  0.3514
Y  0.5000  0.0000  0.0000



The following is a PBE calculation of an optimized crystal structure of Ho5URu4, from Alexandria via LeMat-Bulk.

Results
Size of the total moment in μB per formula unit: 0.00
Crystal system: monoclinic
Energy of formation from the pure elements in meV/atom: -371

a = 4.6265 Å, b = 6.8056 Å, c = 7.9176 Å
α = 102.42°, β = 106.99°, γ = 90.00°
Sites, in units of the cell vectors:
Ho  0.8265  0.9551  0.6529
Ho  0.1670  0.5429  0.3340
Ho  0.1735  0.0449  0.3471
Ho  0.8330  0.4571  0.6660
Ho  0.5000  0.5000  0.0000
U  0.5000  0.0000  0.0000
Ru  0.0011  0.2229  0.0021
Ru  0.3571  0.7382  0.7142
Ru  0.9989  0.7771  0.9979
Ru  0.6429  0.2618  0.2858